A geometry-optimized BaY2As structure, computed with GGA-PBE.

Unit cell a=7.8990 b=7.8990 c=7.8990 alpha=90.00 beta=90.00 gamma=90.00
With the nearest neighbours (Å) after each atom.
Space group F-43m (No. 216)
One atom of each set of equivalent atoms:
Ba: 0.0000 0.0000 0.0000  4 As 3.42, 4 Y 3.42
Y: 0.0000 0.0000 0.5000  4 As 3.42, 4 Y 3.42
Y: 0.2500 0.2500 0.2500  4 Ba 3.42, 4 Y 3.42
As: 0.2500 0.2500 0.7500  4 Ba 3.42, 4 Y 3.42

Size of the total moment (Bohr magnetons per cell): 4.3
DOS at the Fermi energy (states/eV per cell): 22.3
Electronic total energy (Ha/atom): -0.17854
Energy relative to the elements (kJ/mol of atoms): 1.6